(w)
A plane-wave DFT calculation with GGA-PBE was carried out for crystalline K2Sr2C at its relaxed geometry.

Calculated volume ... 44.85 A^3/atom
DOS at the Fermi energy ... 4.9 states/eV/f.u.

Cell and atoms, written as CIF:
```
data_K2Sr2C
_chemical_formula_sum 'K4 Sr4 C2'
_symmetry_space_group_name_H-M 'P 4/m b m'
_symmetry_Int_Tables_number 127
_symmetry_space_group_name_Hall '-P 4 2ab'
_cell_length_a 7.6092
_cell_length_b 7.6092
_cell_length_c 7.7453
_cell_angle_alpha 90.00
_cell_angle_beta 90.00
_cell_angle_gamma 90.00
loop_
_atom_site_label
_atom_site_fract_x
_atom_site_fract_y
_atom_site_fract_z
_atom_site_occupancy
K1 0.1863 0.3137 0.0000 1
Sr1 0.2047 0.7047 0.5000 1
C1 0.0000 0.0000 0.5000 1
```

=====

(x)
A plane-wave DFT calculation with GGA-PBE was carried out for crystalline K2Sr2C at its relaxed geometry.

Calculated volume ... 39.37 A^3/atom
DOS at the Fermi energy ... 2.4 states/eV/f.u.

Cell and atoms, written as CIF:
```
data_K2Sr2C
_chemical_formula_sum 'K4 Sr4 C2'
_symmetry_space_group_name_H-M 'I 4/m m m'
_symmetry_Int_Tables_number 139
_symmetry_space_group_name_Hall '-I 4 2'
_cell_length_a 4.2161
_cell_length_b 4.2161
_cell_length_c 22.1493
_cell_angle_alpha 90.00
_cell_angle_beta 90.00
_cell_angle_gamma 90.00
loop_
_atom_site_label
_atom_site_fract_x
_atom_site_fract_y
_atom_site_fract_z
_atom_site_occupancy
K1 0.0000 0.5000 0.2500 1
Sr1 0.0000 0.0000 0.0719 1
C1 0.0000 0.0000 0.5000 1
```

=====

Which structure loses on stability? (x) does.